1.
{
  "formula": "LaDyTm",
  "functional": "PBE",
  "state": "optimized geometry",
  "cell": [[2.523, -7.687, 0.000], [2.523, 7.687, 0.000], [0.000, 0.000, 5.101]],
  "species": ["La", "La", "Dy", "Dy", "Tm", "Tm"],
  "fractional_positions": [[0.083, 0.917, 0.750], [0.917, 0.083, 0.250], [0.248, 0.752, 0.250], [0.752, 0.248, 0.750], [0.415, 0.585, 0.750], [0.585, 0.415, 0.250]],
  "space_group": "No. 63",
  "formation_enthalpy_0k_mev_per_atom": 39.7
}

2.
{
  "formula": "La8Dy2Tm",
  "functional": "PBE",
  "state": "optimized geometry",
  "cell": [[4.626, -8.409, 0.000], [4.626, 8.409, 0.000], [-3.351, 0.000, 5.044]],
  "species": ["La", "La", "La", "La", "La", "La", "La", "La", "Dy", "Dy", "Tm"],
  "fractional_positions": [[0.095, 0.332, 0.683], [0.206, 0.794, 0.000], [0.332, 0.095, 0.683], [0.419, 0.419, 0.202], [0.581, 0.581, 0.798], [0.668, 0.905, 0.317], [0.794, 0.206, 0.000], [0.905, 0.668, 0.317], [0.311, 0.689, 0.500], [0.689, 0.311, 0.500], [0.000, 0.000, 0.000]],
  "space_group": "No. 12",
  "formation_enthalpy_0k_mev_per_atom": 127.9
}

3.
{
  "formula": "La2DyTm12",
  "functional": "PBE",
  "state": "optimized geometry",
  "cell": [[3.530, -5.552, 0.000], [3.530, 5.552, 0.000], [-1.750, 0.000, 24.191]],
  "species": ["La", "La", "La", "La", "Dy", "Dy", "Tm", "Tm", "Tm", "Tm", "Tm", "Tm", "Tm", "Tm", "Tm", "Tm", "Tm", "Tm", "Tm", "Tm", "Tm", "Tm", "Tm", "Tm", "Tm", "Tm", "Tm", "Tm", "Tm", "Tm"],
  "fractional_positions": [[0.067, 0.067, 0.273], [0.432, 0.432, 0.727], [0.568, 0.568, 0.273], [0.933, 0.933, 0.727], [0.250, 0.250, 0.000], [0.750, 0.750, 0.000], [0.049, 0.549, 0.200], [0.083, 0.582, 0.332], [0.139, 0.638, 0.554], [0.142, 0.142, 0.571], [0.217, 0.217, 0.866], [0.232, 0.732, 0.926], [0.268, 0.768, 0.074], [0.283, 0.283, 0.134], [0.357, 0.357, 0.430], [0.362, 0.861, 0.446], [0.418, 0.917, 0.668], [0.451, 0.951, 0.800], [0.549, 0.049, 0.200], [0.582, 0.083, 0.332], [0.638, 0.139, 0.554], [0.643, 0.643, 0.570], [0.717, 0.717, 0.866], [0.732, 0.232, 0.926], [0.768, 0.268, 0.074], [0.783, 0.783, 0.134], [0.858, 0.858, 0.429], [0.861, 0.362, 0.446], [0.917, 0.418, 0.668], [0.951, 0.451, 0.800]],
  "space_group": "No. 12",
  "formation_enthalpy_0k_mev_per_atom": 116.3
}

4.
{
  "formula": "LaDy4Tm6",
  "functional": "PBE",
  "state": "optimized geometry",
  "cell": [[2.806, -4.847, 0.000], [2.806, 4.847, 0.000], [0.000, 0.000, 25.505]],
  "species": ["La", "La", "Dy", "Dy", "Dy", "Dy", "Dy", "Dy", "Dy", "Dy", "Tm", "Tm", "Tm", "Tm", "Tm", "Tm", "Tm", "Tm", "Tm", "Tm", "Tm", "Tm"],
  "fractional_positions": [[0.168, 0.832, 0.750], [0.832, 0.168, 0.250], [0.166, 0.834, 0.041], [0.166, 0.834, 0.459], [0.498, 0.502, 0.122], [0.498, 0.502, 0.378], [0.502, 0.498, 0.622], [0.502, 0.498, 0.878], [0.834, 0.166, 0.541], [0.834, 0.166, 0.959], [0.165, 0.835, 0.180], [0.165, 0.835, 0.320], [0.168, 0.832, 0.601], [0.168, 0.832, 0.899], [0.498, 0.502, 0.250], [0.500, 0.500, 0.000], [0.500, 0.500, 0.500], [0.502, 0.498, 0.750], [0.832, 0.168, 0.101], [0.832, 0.168, 0.399], [0.835, 0.165, 0.680], [0.835, 0.165, 0.820]],
  "space_group": "No. 63",
  "formation_enthalpy_0k_mev_per_atom": 116.8
}

5.
{
  "formula": "La3DyTm4",
  "functional": "PBE",
  "state": "optimized geometry",
  "cell": [[11.506, 0.000, 0.000], [0.000, 7.307, 0.000], [0.000, 0.000, 6.296]],
  "species": ["La", "La", "La", "La", "La", "La", "Dy", "Dy", "Tm", "Tm", "Tm", "Tm", "Tm", "Tm", "Tm", "Tm"],
  "fractional_positions": [[0.000, 0.130, 0.000], [0.249, 0.875, 0.834], [0.251, 0.125, 0.334], [0.500, 0.870, 0.500], [0.749, 0.125, 0.334], [0.751, 0.875, 0.834], [0.000, 0.866, 0.497], [0.500, 0.134, 0.997], [0.000, 0.380, 0.499], [0.000, 0.620, 0.002], [0.248, 0.619, 0.334], [0.252, 0.381, 0.834], [0.500, 0.380, 0.502], [0.500, 0.620, 0.999], [0.748, 0.381, 0.834], [0.752, 0.619, 0.334]],
  "space_group": "No. 31",
  "formation_enthalpy_0k_mev_per_atom": 32.4
}

6.
{
  "formula": "LaDy6Tm",
  "functional": "PBE",
  "state": "optimized geometry",
  "cell": [[5.043, 0.000, 0.000], [0.000, 5.043, 0.000], [0.000, 0.000, 10.075]],
  "species": ["La", "Dy", "Dy", "Dy", "Dy", "Dy", "Dy", "Tm"],
  "fractional_positions": [[0.000, 0.000, 0.000], [0.000, 0.500, 0.255], [0.000, 0.500, 0.745], [0.500, 0.000, 0.255], [0.500, 0.000, 0.745], [0.500, 0.500, 0.000], [0.500, 0.500, 0.500], [0.000, 0.000, 0.500]],
  "space_group": "No. 123",
  "formation_enthalpy_0k_mev_per_atom": 30.3
}

7.
{
  "formula": "La5Dy2Tm4",
  "functional": "PBE",
  "state": "optimized geometry",
  "cell": [[-1.771, 4.601, 11.851], [1.771, -4.601, 11.851], [1.771, 4.601, -11.851]],
  "species": ["La", "La", "La", "La", "La", "Dy", "Dy", "Tm", "Tm", "Tm", "Tm"],
  "fractional_positions": [[0.000, 0.000, 0.000], [0.055, 0.354, 0.701], [0.347, 0.646, 0.701], [0.653, 0.354, 0.299], [0.945, 0.646, 0.299], [0.270, 0.770, 0.500], [0.730, 0.230, 0.500], [0.319, 0.500, 0.819], [0.404, 0.904, 0.500], [0.596, 0.096, 0.500], [0.681, 0.500, 0.181]],
  "space_group": "No. 71",
  "formation_enthalpy_0k_mev_per_atom": 175.5
}

8.
{
  "formula": "La3Dy5Tm3",
  "functional": "PBE",
  "state": "optimized geometry",
  "cell": [[9.682, 0.000, 0.000], [-4.841, 8.385, 0.000], [0.000, 0.000, 5.268]],
  "species": ["La", "La", "La", "Dy", "Dy", "Dy", "Dy", "Dy", "Tm", "Tm", "Tm"],
  "fractional_positions": [[0.000, 0.639, 0.000], [0.361, 0.361, 0.000], [0.639, 0.000, 0.000], [0.000, 0.267, 0.000], [0.267, 0.000, 0.000], [0.333, 0.667, 0.000], [0.667, 0.333, 0.000], [0.733, 0.733, 0.000], [0.000, 0.471, 0.500], [0.471, 0.000, 0.500], [0.529, 0.529, 0.500]],
  "space_group": "No. 189",
  "formation_enthalpy_0k_mev_per_atom": 792.1
}

9.
{
  "formula": "La3Dy2Tm2",
  "functional": "PBE",
  "state": "optimized geometry",
  "cell": [[6.011, -1.816, 0.000], [6.011, 1.816, 0.000], [-1.088, 0.000, 10.700]],
  "species": ["La", "La", "La", "Dy", "Dy", "Tm", "Tm"],
  "fractional_positions": [[0.000, 0.000, 0.000], [0.143, 0.143, 0.571], [0.857, 0.857, 0.429], [0.284, 0.284, 0.140], [0.716, 0.716, 0.860], [0.426, 0.426, 0.717], [0.574, 0.574, 0.283]],
  "space_group": "No. 12",
  "formation_enthalpy_0k_mev_per_atom": 28.7
}

10.
{
  "formula": "La12DyTm2",
  "functional": "PBE",
  "state": "optimized geometry",
  "cell": [[3.698, 0.000, 0.000], [-0.005, 5.222, 0.000], [-1.788, -2.589, 27.515]],
  "species": ["La", "La", "La", "La", "La", "La", "La", "La", "La", "La", "La", "La", "Dy", "Tm", "Tm"],
  "fractional_positions": [[0.038, 0.033, 0.066], [0.111, 0.102, 0.200], [0.173, 0.167, 0.331], [0.235, 0.233, 0.465], [0.296, 0.300, 0.602], [0.426, 0.432, 0.867], [0.574, 0.568, 0.133], [0.704, 0.700, 0.398], [0.765, 0.767, 0.535], [0.827, 0.833, 0.669], [0.889, 0.898, 0.800], [0.962, 0.967, 0.934], [0.500, 0.500, 0.000], [0.357, 0.365, 0.734], [0.643, 0.635, 0.266]],
  "space_group": "No. 2",
  "formation_enthalpy_0k_mev_per_atom": 18.0
}

11.
{
  "formula": "La7Dy2Tm",
  "functional": "PBE",
  "state": "optimized geometry",
  "cell": [[3.684, 0.000, 0.000], [-1.837, 9.580, 0.000], [-0.004, -2.799, 9.939]],
  "species": ["La", "La", "La", "La", "La", "La", "La", "Dy", "Dy", "Tm"],
  "fractional_positions": [[0.000, 0.000, 0.000], [0.201, 0.401, 0.103], [0.399, 0.800, 0.206], [0.402, 0.800, 0.693], [0.598, 0.200, 0.307], [0.601, 0.200, 0.794], [0.799, 0.599, 0.897], [0.201, 0.403, 0.597], [0.799, 0.597, 0.403], [0.000, 0.000, 0.500]],
  "space_group": "No. 2",
  "formation_enthalpy_0k_mev_per_atom": 25.3
}

12.
{
  "formula": "La2Dy4Tm3",
  "functional": "PBE",
  "state": "optimized geometry",
  "cell": [[3.592, 0.000, 0.000], [-1.796, 3.111, 0.000], [0.000, 0.000, 26.370]],
  "species": ["La", "La", "Dy", "Dy", "Dy", "Dy", "Tm", "Tm", "Tm"],
  "fractional_positions": [[0.000, 0.000, 0.000], [0.000, 0.000, 0.222], [0.000, 0.000, 0.357], [0.000, 0.000, 0.567], [0.333, 0.667, 0.675], [0.333, 0.667, 0.886], [0.000, 0.000, 0.781], [0.333, 0.667, 0.113], [0.333, 0.667, 0.461]],
  "space_group": "No. 156",
  "formation_enthalpy_0k_mev_per_atom": 48.0
}

13.
{
  "formula": "LaDy3Tm7",
  "functional": "PBE",
  "state": "optimized geometry",
  "cell": [[6.887, 0.000, 0.000], [0.000, 5.492, 0.000], [-3.178, 0.000, 9.295]],
  "species": ["La", "Dy", "Dy", "Dy", "Tm", "Tm", "Tm", "Tm", "Tm", "Tm", "Tm"],
  "fractional_positions": [[0.000, 0.000, 0.000], [0.276, 0.500, 0.493], [0.500, 0.000, 0.000], [0.724, 0.500, 0.507], [0.000, 0.000, 0.500], [0.150, 0.500, 0.789], [0.325, 0.500, 0.142], [0.431, 0.000, 0.332], [0.569, 0.000, 0.668], [0.675, 0.500, 0.858], [0.850, 0.500, 0.211]],
  "space_group": "No. 10",
  "formation_enthalpy_0k_mev_per_atom": 157.0
}

14.
{
  "formula": "LaDyTm14",
  "functional": "PBE",
  "state": "optimized geometry",
  "cell": [[11.336, 0.000, 0.000], [0.000, 3.531, 6.107], [0.000, -3.531, 6.107]],
  "species": ["La", "Dy", "Tm", "Tm", "Tm", "Tm", "Tm", "Tm", "Tm", "Tm", "Tm", "Tm", "Tm", "Tm", "Tm", "Tm"],
  "fractional_positions": [[0.000, 0.000, 0.000], [0.000, 0.500, 0.500], [0.000, 0.001, 0.500], [0.000, 0.500, 0.001], [0.250, 0.667, 0.667], [0.253, 0.168, 0.168], [0.254, 0.167, 0.666], [0.254, 0.666, 0.167], [0.500, 0.334, 0.334], [0.500, 0.334, 0.833], [0.500, 0.833, 0.334], [0.500, 0.833, 0.833], [0.746, 0.167, 0.666], [0.746, 0.666, 0.167], [0.747, 0.168, 0.168], [0.750, 0.667, 0.667]],
  "space_group": "No. 38",
  "formation_enthalpy_0k_mev_per_atom": 14.0
}

15.
{
  "formula": "La2Dy5Tm4",
  "functional": "PBE",
  "state": "optimized geometry",
  "cell": [[3.517, 0.000, 0.000], [1.746, 8.752, 0.000], [0.003, 0.894, 11.558]],
  "species": ["La", "La", "Dy", "Dy", "Dy", "Dy", "Dy", "Tm", "Tm", "Tm", "Tm"],
  "fractional_positions": [[0.217, 0.065, 0.353], [0.783, 0.935, 0.647], [0.000, 0.500, 0.000], [0.324, 0.852, 0.936], [0.404, 0.686, 0.461], [0.596, 0.314, 0.539], [0.676, 0.148, 0.064], [0.139, 0.222, 0.798], [0.469, 0.563, 0.747], [0.531, 0.437, 0.253], [0.861, 0.778, 0.202]],
  "space_group": "No. 2",
  "formation_enthalpy_0k_mev_per_atom": 67.6
}

16.
{
  "formula": "La8DyTm5",
  "functional": "PBE",
  "state": "optimized geometry",
  "cell": [[8.631, 0.000, 0.000], [-1.313, 8.541, 0.000], [-3.757, -4.179, 6.610]],
  "species": ["La", "La", "La", "La", "La", "La", "La", "La", "Dy", "Tm", "Tm", "Tm", "Tm", "Tm"],
  "fractional_positions": [[0.000, 0.000, 0.000], [0.003, 0.681, 0.563], [0.395, 0.494, 0.320], [0.441, 0.118, 0.555], [0.558, 0.556, 0.990], [0.611, 0.188, 0.231], [0.742, 0.957, 0.510], [0.886, 0.346, 0.041], [0.008, 0.839, 0.279], [0.134, 0.341, 0.524], [0.227, 0.153, 0.815], [0.254, 0.724, 0.028], [0.488, 0.828, 0.774], [0.775, 0.526, 0.736]],
  "space_group": "No. 1",
  "formation_enthalpy_0k_mev_per_atom": 164.5
}

17.
{
  "formula": "La6DyTm3",
  "functional": "PBE",
  "state": "optimized geometry",
  "cell": [[7.794, 0.000, 0.000], [0.000, 9.411, 0.000], [-7.781, 0.000, 9.419]],
  "species": ["La", "La", "La", "La", "La", "La", "La", "La", "La", "La", "La", "La", "Dy", "Dy", "Tm", "Tm", "Tm", "Tm", "Tm", "Tm"],
  "fractional_positions": [[0.078, 0.169, 0.331], [0.078, 0.331, 0.831], [0.134, 0.137, 0.634], [0.134, 0.363, 0.134], [0.363, 0.631, 0.865], [0.363, 0.869, 0.365], [0.637, 0.131, 0.635], [0.637, 0.369, 0.135], [0.866, 0.637, 0.866], [0.866, 0.863, 0.366], [0.922, 0.669, 0.169], [0.922, 0.831, 0.669], [0.500, 0.000, 0.000], [0.500, 0.500, 0.500], [0.000, 0.000, 0.000], [0.000, 0.500, 0.500], [0.413, 0.668, 0.167], [0.413, 0.832, 0.667], [0.587, 0.168, 0.333], [0.587, 0.332, 0.833]],
  "space_group": "No. 14",
  "formation_enthalpy_0k_mev_per_atom": 139.4
}

18.
{
  "formula": "La5Dy2Tm4",
  "functional": "PBE",
  "state": "optimized geometry",
  "cell": [[8.861, -1.779, 0.000], [8.861, 1.779, 0.000], [-0.798, 0.000, 11.691]],
  "species": ["La", "La", "La", "La", "La", "Dy", "Dy", "Tm", "Tm", "Tm", "Tm"],
  "fractional_positions": [[0.000, 0.000, 0.000], [0.324, 0.324, 0.929], [0.402, 0.402, 0.466], [0.598, 0.598, 0.534], [0.676, 0.676, 0.071], [0.216, 0.216, 0.347], [0.784, 0.784, 0.653], [0.140, 0.140, 0.797], [0.465, 0.465, 0.739], [0.535, 0.535, 0.261], [0.860, 0.860, 0.203]],
  "space_group": "No. 12",
  "formation_enthalpy_0k_mev_per_atom": 82.5
}